A plane-wave DFT calculation with PBE was carried out for a relaxed structure of KLiScRu2.

uncorrected energy	-4.4299	eV/atom
SG	No. 123
crystal system	tetragonal

Lattice parameters (Å, degrees): 4.4955 4.7748 4.4955 90.00 90.00 90.00
Last column: nearest neighbours and their distance in Å.
Atoms (fractional coordinates):
Sc 0.0000 0.5000 0.0000  2 Li 2.39
Ru 0.0000 0.0000 0.5000  2 Li 2.25
Ru 0.5000 0.0000 0.0000  2 Li 2.25
K 0.5000 0.5000 0.5000  4 Sc 3.18, 8 Ru 3.28
Li 0.0000 0.0000 0.0000  4 Ru 2.25, 2 Sc 2.39

A plane-wave DFT calculation with PBE was carried out for a relaxed structure of KLi2VRu.

uncorrected energy	-3.0410	eV/atom
SG	No. 123
crystal system	tetragonal

Lattice parameters (Å, degrees): 4.0247 5.2354 4.0247 90.00 90.00 90.00
Last column: nearest neighbours and their distance in Å.
Atoms (fractional coordinates):
Ru 0.0000 0.5000 0.0000  2 K 2.62, 4 V 2.85
K 0.0000 0.0000 0.0000  4 Li 2.01
Li 0.0000 0.0000 0.5000  2 K 2.01
Li 0.5000 0.0000 0.0000  2 K 2.01
V 0.5000 0.5000 0.5000  4 Ru 2.85

| no. | calculated formation energy (eV per atom) |
| --- | --- |
| 1 | 1.149 |
| 2 | 1.623 |